1.
# AcPmSm

A relaxed structure of AcPmSm (PBE-GGA, Alexandria via LeMat-Bulk).

Output
calculated density = 7.69 g/cm³
final energy = -0.16472 Ha/atom
formation enthalpy at 0 K = 44 meV/atom

```
data_AcPmSm
_chemical_formula_sum 'Ac1 Pm1 Sm1'
_space_group_name_H-M_alt 'P 3 m 1'
_space_group_IT_number 156
_cell_length_a 3.7788
_cell_length_b 3.7788
_cell_length_c 9.1156
_cell_angle_alpha 90.00
_cell_angle_beta 90.00
_cell_angle_gamma 120.00
loop_
_space_group_symop_operation_xyz
'x,y,z'
'-y,x-y,z'
'-x+y,-x,z'
'-y,-x,z'
'-x+y,y,z'
'x,x-y,z'
loop_
_atom_site_label
_atom_site_fract_x
_atom_site_fract_y
_atom_site_fract_z
Ac1 0.0000 0.0000 0.0000
Pm1 0.6667 0.3333 0.3421
Sm1 0.3333 0.6667 0.6600
```


2.
# AcPm4Sm3

A relaxed structure of AcPm4Sm3 (PBE-GGA, Alexandria via LeMat-Bulk).

Output
calculated density = 7.32 g/cm³
final energy = -0.16964 Ha/atom
formation enthalpy at 0 K = 42 meV/atom

```
data_AcPm4Sm3
_chemical_formula_sum 'Ac2 Pm8 Sm6'
_space_group_name_H-M_alt 'P m n 21'
_space_group_IT_number 31
_cell_length_a 11.902
_cell_length_b 7.454
_cell_length_c 6.432
_cell_angle_alpha 90.00
_cell_angle_beta 90.00
_cell_angle_gamma 90.00
loop_
_space_group_symop_operation_xyz
'x,y,z'
'-x+1/2,-y,z+1/2'
'-x,y,z'
'x+1/2,-y,z+1/2'
loop_
_atom_site_label
_atom_site_fract_x
_atom_site_fract_y
_atom_site_fract_z
Ac1 0.000 0.125 0.000
Pm1 0.000 0.379 0.491
Pm2 0.000 0.625 0.994
Pm3 0.247 0.623 0.662
Sm1 0.000 0.870 0.494
Sm2 0.248 0.128 0.659
```


Question: Look up the formation enthalpy at 0 K of the second one.
Answer: 42 meV/atom


Question: Look up the formation enthalpy at 0 K of the second one.
Answer: 42 meV/atom


Question: What is the calculated density in the first record?
Answer: 7.69 g/cm³


Question: Which value of final energy does entry 2 give?
Answer: -0.16964 Ha/atom